No. 1
BeCo3Pb | PBE | relaxed

N(E_F): 0.502 states/eV per atom
Raw total energy: -5.33 eV per atom
Magnetic moment: 1.094 μB/f.u.
SG: Pm-3m, No. 221
Energy relative to the elements: 0.417 eV per atom
Calculated volume: 64 Å³/cell

Cell lengths 3.9986, 3.9986, 3.9986 Å; angles 90.00, 90.00, 90.00 degrees
Closest atoms and distances in Å follow each position.
Positions (direct):
1 Be 0.0000 0.0000 0.0000  6 Co 2.00
2 Co 0.0000 0.0000 0.5000  2 Be 2.00
3 Co 0.0000 0.5000 0.0000  2 Be 2.00
4 Co 0.5000 0.0000 0.0000  2 Be 2.00
5 Pb 0.5000 0.5000 0.5000  12 Co 2.83

No. 2
BeCoPb2 | PBE | relaxed

N(E_F): 1.279 states/eV per atom
Raw total energy: -3.81 eV per atom
Magnetic moment: 1.226 μB/f.u.
SG: I-4m2, No. 119
Energy relative to the elements: 0.757 eV per atom
Calculated volume: 79 Å³/cell

Cell lengths 5.8961, 5.8961, 5.8961 Å; angles 141.45, 141.45, 55.66 degrees
Closest atoms and distances in Å follow each position.
Positions (direct):
1 Be 0.0000 0.0000 0.0000  4 Pb 2.75
2 Co 0.2500 0.7500 0.5000  4 Pb 2.75
3 Pb 0.5000 0.5000 0.0000  4 Be 2.75
4 Pb 0.7500 0.2500 0.5000  4 Co 2.75

No. 3
BeCo3Pb | PBE | relaxed

N(E_F): 2.970 states/eV per atom
Raw total energy: -3.75 eV per atom
Magnetic moment: 4.298 μB/f.u.
SG: Pm-3m, No. 221
Energy relative to the elements: 2.002 eV per atom
Calculated volume: 107 Å³/cell

Cell lengths 4.7506, 4.7506, 4.7506 Å; angles 90.00, 90.00, 90.00 degrees
Closest atoms and distances in Å follow each position.
Positions (direct):
1 Be 0.0000 0.0000 0.0000  12 Co 3.36
2 Co 0.0000 0.5000 0.5000  2 Pb 2.38
3 Co 0.5000 0.0000 0.5000  2 Pb 2.38
4 Co 0.5000 0.5000 0.0000  2 Pb 2.38
5 Pb 0.5000 0.5000 0.5000  6 Co 2.38

No. 4
BeCoPb2 | PBE | relaxed

N(E_F): 0.919 states/eV per atom
Raw total energy: -3.89 eV per atom
Magnetic moment: 1.196 μB/f.u.
SG: R-3m, No. 166
Energy relative to the elements: 0.669 eV per atom
Calculated volume: 79 Å³/cell

Cell lengths 7.6735, 7.6735, 7.6735 Å; angles 26.41, 26.41, 26.41 degrees
Closest atoms and distances in Å follow each position.
Positions (direct):
1 Be 0.0000 0.0000 0.0000  6 Pb 2.74
2 Co 0.5000 0.5000 0.5000  6 Pb 2.74
3 Pb 0.2501 0.2501 0.2501  3 Be 2.74, 3 Co 2.74
4 Pb 0.7499 0.7499 0.7499  3 Be 2.74, 3 Co 2.74

No. 5
BeCoPb | PBE | relaxed

N(E_F): 0.712 states/eV per atom
Raw total energy: -4.47 eV per atom
Magnetic moment: 0.418 μB/f.u.
SG: I4mm, No. 107
Energy relative to the elements: 0.374 eV per atom
Calculated volume: 45 Å³/cell

Cell lengths 5.1294, 5.1294, 5.1294 Å; angles 144.49, 144.49, 51.09 degrees
Closest atoms and distances in Å follow each position.
Positions (direct):
1 Be 0.0000 0.0000 0.0000  4 Co 2.30, 1 Pb 2.56
2 Co 0.4307 0.4307 0.0000  4 Be 2.30
3 Pb 0.7230 0.7230 0.0000  1 Be 2.56, 1 Co 2.71

No. 6
BeCoPb2 | PBE | relaxed

N(E_F): 0.671 states/eV per atom
Raw total energy: -3.86 eV per atom
Magnetic moment: 0.932 μB/f.u.
SG: Pmmm, No. 47
Energy relative to the elements: 0.702 eV per atom
Calculated volume: 78 Å³/cell

Cell lengths 3.3822, 4.2950, 5.3723 Å; angles 90.00, 90.00, 90.00 degrees
Closest atoms and distances in Å follow each position.
Positions (direct):
1 Be 0.0000 0.0000 0.0000  4 Pb 2.73
2 Co 0.0000 0.5000 0.5000  4 Pb 2.73
3 Pb 0.5000 0.0000 0.5000  4 Co 2.73
4 Pb 0.5000 0.5000 0.0000  4 Be 2.73

No. 7
BeCoPb2 | PBE | relaxed

N(E_F): 0.850 states/eV per atom
Raw total energy: -4.19 eV per atom
Magnetic moment: 0.002 μB/f.u.
SG: Imm2, No. 44
Energy relative to the elements: 0.377 eV per atom
Calculated volume: 85 Å³/cell

Cell lengths 7.0059, 7.0059, 7.0059 Å; angles 150.34, 150.00, 42.69 degrees
Closest atoms and distances in Å follow each position.
Positions (direct):
1 Be 0.0000 0.0000 0.0000  2 Co 2.10
2 Co 0.0841 0.5841 0.5000  2 Be 2.10
3 Pb 0.4145 0.4145 0.0000  4 Be 2.78, 2 Co 2.86
4 Pb 0.6706 0.1706 0.5000  4 Co 2.79, 2 Be 2.87

No. 8
BeCoPb2 | PBE | relaxed

N(E_F): 0.741 states/eV per atom
Raw total energy: -4.23 eV per atom
Magnetic moment: 0.001 μB/f.u.
SG: Amm2, No. 38
Energy relative to the elements: 0.332 eV per atom
Calculated volume: 75 Å³/cell

Cell lengths 3.7398, 5.4143, 5.4143 Å; angles 43.04, 90.00, 90.00 degrees
Closest atoms and distances in Å follow each position.
Positions (direct):
1 Be 0.0000 0.0000 0.0000  2 Co 2.19
2 Co 0.5000 0.8872 0.8872  2 Be 2.19
3 Pb 0.0000 0.3006 0.3006  3 Be 2.82-3.03, 4 Co 2.86
4 Pb 0.5000 0.5875 0.5875  3 Co 2.83-3.02, 4 Be 2.87

No. 9
BeCoPb | PBE | relaxed

N(E_F): 0.866 states/eV per atom
Raw total energy: -4.35 eV per atom
Magnetic moment: 0.003 μB/f.u.
SG: F-43m, No. 216
Energy relative to the elements: 0.494 eV per atom
Calculated volume: 50 Å³/cell

Cell lengths 4.1297, 4.1297, 4.1297 Å; angles 60.00, 60.00, 60.00 degrees
Closest atoms and distances in Å follow each position.
Positions (direct):
1 Be 0.0000 0.0000 0.0000  4 Co 2.53
2 Co 0.7500 0.7500 0.7500  4 Pb 2.53, 4 Be 2.53
3 Pb 0.5000 0.5000 0.5000  4 Co 2.53

No. 10
BeCoPb2 | PBE | relaxed

N(E_F): 1.028 states/eV per atom
Raw total energy: -3.85 eV per atom
Magnetic moment: 1.080 μB/f.u.
SG: Cmmm, No. 65
Energy relative to the elements: 0.711 eV per atom
Calculated volume: 78 Å³/cell

Cell lengths 3.4461, 3.4461, 6.5502 Å; angles 90.00, 90.00, 90.72 degrees
Closest atoms and distances in Å follow each position.
Positions (direct):
1 Be 0.0000 0.0000 0.0000  8 Pb 2.94-2.96, 2 Co 3.28
2 Co 0.0000 0.0000 0.5000  8 Pb 2.91-2.93
3 Pb 0.5000 0.5000 0.2545  4 Co 2.91-2.93, 4 Be 2.94-2.96, 1 Pb 3.22
4 Pb 0.5000 0.5000 0.7455  4 Co 2.91-2.93, 4 Be 2.94-2.96, 1 Pb 3.22

No. 11
BeCoPb2 | PBE | relaxed

N(E_F): 1.547 states/eV per atom
Raw total energy: -3.59 eV per atom
Magnetic moment: 1.387 μB/f.u.
SG: F-43m, No. 216
Energy relative to the elements: 0.968 eV per atom
Calculated volume: 84 Å³/cell

Cell lengths 4.9132, 4.9132, 4.9132 Å; angles 60.00, 60.00, 60.00 degrees
Closest atoms and distances in Å follow each position.
Positions (direct):
1 Be 0.0000 0.0000 0.0000  4 Pb 3.01, 4 Co 3.01
2 Co 0.2500 0.2500 0.2500  4 Pb 3.01, 4 Be 3.01
3 Pb 0.5000 0.5000 0.5000  4 Pb 3.01, 4 Co 3.01
4 Pb 0.7500 0.7500 0.7500  4 Pb 3.01, 4 Be 3.01

No. 12
BeCo4Pb | PBE | relaxed

N(E_F): 1.541 states/eV per atom
Raw total energy: -5.55 eV per atom
Magnetic moment: 5.307 μB/f.u.
SG: F-43m, No. 216
Energy relative to the elements: 0.428 eV per atom
Calculated volume: 79 Å³/cell

Cell lengths 4.8125, 4.8125, 4.8125 Å; angles 60.00, 60.00, 60.00 degrees
Closest atoms and distances in Å follow each position.
Positions (direct):
1 Be 0.0000 0.0000 0.0000  12 Co 2.82, 4 Pb 2.95
2 Co 0.3739 0.3739 0.3739  6 Co 2.38-2.43
3 Co 0.3739 0.3739 0.8784  6 Co 2.38-2.43
4 Co 0.3739 0.8784 0.3739  6 Co 2.38-2.43
5 Co 0.8784 0.3739 0.3739  6 Co 2.38-2.43
6 Pb 0.7500 0.7500 0.7500  12 Co 2.82, 4 Be 2.95